# 1
A plane-wave DFT calculation with PBE-GGA was carried out for an optimized crystal structure of TbPrTe2Cl.

As for the formation energy (no corrections): -1624 meV/atom. The value obtained for the density is 6.78 g cm⁻³.

The space group is P4/nmm (No. 129, origin choice 2) and the conventional cell measures 4.3730, 4.3730 and 15.1274 Å, with angles of 90.00, 90.00 and 90.00 degrees. The distinct sites, in fractional coordinates, are Tb at (0.2500, 0.2500, 0.0841), Pr at (0.2500, 0.2500, 0.6344), Te at (0.2500, 0.2500, 0.2936), Te at (0.2500, 0.2500, 0.8780) and Cl at (0.2500, 0.7500, 0.5000).

---

# 2
A plane-wave DFT calculation with PBE-GGA was carried out for an optimized crystal structure of K2RbMnCl6.

As for the formation energy (no corrections): -1567 meV/atom. The value obtained for the density is 2.32 g cm⁻³.

The space group is P2_1/c (No. 14) and the conventional cell measures 7.3387, 8.0304 and 12.5074 Å, with angles of 90.00, 123.22 and 90.00 degrees. The distinct sites, in fractional coordinates, are K at (0.2077, 0.0678, 0.2393), Rb at (0.0000, 0.0000, 0.5000), Mn at (0.5000, 0.0000, 0.0000), Cl at (0.2077, 0.1582, 0.9646), Cl at (0.2435, 0.7338, 0.9075) and Cl at (0.4184, 0.0668, 0.7984).

---

# 3
A plane-wave DFT calculation with PBE-GGA was carried out for an optimized crystal structure of Ac2SmDy4.

The value obtained for the density is 8.28 g cm⁻³. As for the formation enthalpy at 0 K: 0.0927 eV per atom.

The space group is Cmmm (No. 65) and the conventional cell measures 3.6497, 37.6650 and 3.6592 Å, with angles of 90.00, 90.00 and 90.00 degrees. The distinct sites, in fractional coordinates, are Ac at (0.0000, 0.2040, 0.0000), Sm at (0.0000, 0.5000, 0.5000), Dy at (0.0000, 0.0660, 0.0000) and Dy at (0.0000, 0.3692, 0.5000).